! FePd3Pt6 (PBE-GGA, relaxed); values from VASP
! VASP energy: -5.87 eV per atom
! N(E_F): 0.939 states/eV/atom
&SYSTEM
  ibrav = 0, nat = 10, ntyp = 3
/
ATOMIC_SPECIES
Fe 55.84 Fe.upf
Pd 106.42 Pd.upf
Pt 195.08 Pt.upf
CELL_PARAMETERS angstrom
4.670 -2.637 0.000
4.670 2.637 0.000
-1.944 0.000 6.553
ATOMIC_POSITIONS crystal
Fe 0.000 0.000 0.000
Pd 0.399 0.399 0.817
Pd 0.500 0.500 0.500
Pd 0.601 0.601 0.183
Pt 0.093 0.595 0.189
Pt 0.138 0.138 0.416
Pt 0.405 0.907 0.811
Pt 0.595 0.093 0.189
Pt 0.862 0.862 0.584
Pt 0.907 0.405 0.811

! Fe2Pd3Pt2 (PBE-GGA, relaxed); values from VASP
! VASP energy: -6.49 eV per atom
! N(E_F): 0.642 states/eV/atom
! E above lowest polymorph: 22 meV per atom
&SYSTEM
  ibrav = 0, nat = 7, ntyp = 3
/
ATOMIC_SPECIES
Fe 55.84 Fe.upf
Pd 106.42 Pd.upf
Pt 195.08 Pt.upf
CELL_PARAMETERS angstrom
1.371 -13.788 0.000
1.371 13.788 0.000
0.000 0.000 2.746
ATOMIC_POSITIONS crystal
Fe 0.141 0.859 0.000
Fe 0.859 0.141 0.000
Pd 0.000 0.000 0.000
Pd 0.425 0.575 0.500
Pd 0.575 0.425 0.500
Pt 0.294 0.706 0.500
Pt 0.706 0.294 0.500

! Fe6PdPt8 (PBE-GGA, relaxed); values from VASP
! VASP energy: -6.99 eV per atom
! N(E_F): 0.773 states/eV/atom
&SYSTEM
  ibrav = 0, nat = 15, ntyp = 3
/
ATOMIC_SPECIES
Fe 55.84 Fe.upf
Pd 106.42 Pd.upf
Pt 195.08 Pt.upf
CELL_PARAMETERS angstrom
3.590 2.072 5.173
-3.590 2.072 5.173
0.000 -4.145 5.173
ATOMIC_POSITIONS crystal
Fe 0.080 0.385 0.658
Fe 0.342 0.920 0.615
Fe 0.385 0.658 0.080
Fe 0.615 0.342 0.920
Fe 0.658 0.080 0.385
Fe 0.920 0.615 0.342
Pd 0.000 0.000 0.000
Pt 0.142 0.820 0.411
Pt 0.180 0.589 0.858
Pt 0.263 0.263 0.263
Pt 0.411 0.142 0.820
Pt 0.589 0.858 0.180
Pt 0.737 0.737 0.737
Pt 0.820 0.411 0.142
Pt 0.858 0.180 0.589

! FePdPt5 (PBE-GGA, relaxed); values from VASP
! VASP energy: -5.58 eV per atom
! N(E_F): 1.116 states/eV/atom
! E above lowest polymorph: 677 meV per atom
&SYSTEM
  ibrav = 0, nat = 7, ntyp = 3
/
ATOMIC_SPECIES
Fe 55.84 Fe.upf
Pd 106.42 Pd.upf
Pt 195.08 Pt.upf
CELL_PARAMETERS angstrom
-3.525 4.337 2.399
3.525 -4.337 2.399
3.525 4.337 -2.399
ATOMIC_POSITIONS crystal
Fe 0.000 0.000 0.000
Pd 0.295 0.795 0.500
Pt 0.457 0.207 0.250
Pt 0.496 0.496 0.000
Pt 0.793 0.103 0.310
Pt 0.793 0.483 0.690
Pt 0.958 0.207 0.750

! Fe4Pd7Pt (PBE-GGA, relaxed); values from VASP
! VASP energy: -6.42 eV per atom
! N(E_F): 0.981 states/eV/atom
&SYSTEM
  ibrav = 0, nat = 12, ntyp = 3
/
ATOMIC_SPECIES
Fe 55.84 Fe.upf
Pd 106.42 Pd.upf
Pt 195.08 Pt.upf
CELL_PARAMETERS angstrom
4.769 0.000 0.000
-0.002 5.480 0.000
-2.304 -1.362 6.670
ATOMIC_POSITIONS crystal
Fe 0.171 0.161 0.169
Fe 0.325 0.581 0.831
Fe 0.675 0.419 0.169
Fe 0.829 0.839 0.831
Pd 0.001 0.252 0.495
Pd 0.176 0.660 0.157
Pd 0.328 0.087 0.845
Pd 0.500 0.500 0.500
Pd 0.672 0.913 0.155
Pd 0.824 0.340 0.843
Pd 0.999 0.748 0.505
Pt 0.500 0.000 0.500

! Fe5PdPt6 (PBE-GGA, relaxed); values from VASP
! VASP energy: -7.20 eV per atom
! N(E_F): 0.868 states/eV/atom
&SYSTEM
  ibrav = 0, nat = 12, ntyp = 3
/
ATOMIC_SPECIES
Fe 55.84 Fe.upf
Pd 106.42 Pd.upf
Pt 195.08 Pt.upf
CELL_PARAMETERS angstrom
1.943 -5.830 0.000
1.943 5.830 0.000
0.000 0.000 7.603
ATOMIC_POSITIONS crystal
Fe 0.000 0.000 0.000
Fe 0.329 0.671 0.000
Fe 0.333 0.667 0.500
Fe 0.667 0.333 0.500
Fe 0.671 0.329 0.000
Pd 0.000 0.000 0.500
Pt 0.168 0.832 0.247
Pt 0.168 0.832 0.753
Pt 0.500 0.500 0.237
Pt 0.500 0.500 0.763
Pt 0.832 0.168 0.247
Pt 0.832 0.168 0.753

The calculation returns the following ΔH_f (0 K) values, one per record and in order: 0.161, -0.124, -0.036, 0.683, -0.069, -0.225 eV/atom.